1.
# Mg2TaPt

A relaxed Mg2TaPt crystal (GGA-PBE, Alexandria via LeMat-Bulk).

abc: 3.437 4.646 9.096
angles: 90.00 90.00 90.00
Space group Imm2 (No. 44)
Inequivalent atoms, fractional coordinates:
Mg  0.000  0.000  0.000
Mg  0.000  0.500  0.227
Ta  0.000  0.000  0.455
Pt  0.000  0.500  0.739

Relative energy among the computed polymorphs   0.1718 eV per atom
Crystal system   orthorhombic
ΔH_f (0 K)   -113 meV/atom
Total magnetic moment   0.00 μB/f.u.



2.
# TePdW2

A relaxed TePdW2 crystal (GGA-PBE, Alexandria via LeMat-Bulk).

abc: 5.898 5.898 11.706
angles: 90.00 90.00 90.00
Space group I-42d (No. 122)
Inequivalent atoms, fractional coordinates:
Te  0.000  0.000  0.000
Pd  0.000  0.000  0.500
W  0.215  0.250  0.625

Crystal system   tetragonal
Formation energy (no corrections)   6.2 eV per formula unit
Total magnetic moment   0.00 μB/f.u.



Copy entry 2 word for word.
# TePdW2

A relaxed TePdW2 crystal (GGA-PBE, Alexandria via LeMat-Bulk).

abc: 5.898 5.898 11.706
angles: 90.00 90.00 90.00
Space group I-42d (No. 122)
Inequivalent atoms, fractional coordinates:
Te  0.000  0.000  0.000
Pd  0.000  0.000  0.500
W  0.215  0.250  0.625

Crystal system   tetragonal
Formation energy (no corrections)   6.2 eV per formula unit
Total magnetic moment   0.00 μB/f.u.



Q: Look up the total magnetic moment of the second one.
A: 0.00 μB/f.u.